[1]
Entry from Alexandria: AlCd2Co at its PBEsol-relaxed geometry (meta-GGA SCAN).

```
4
Lattice="4.468 0.000 0.000 2.234 3.869 0.000 2.234 1.290 3.648" Properties=species:S:1:pos:R:3 pbc="T T T"
Co 2.234 1.290 0.912
Cd 6.702 3.869 2.736
Cd 0.000 0.000 0.000
Al 4.468 2.580 1.824
```

Output
Its mass density is 8.18 Mg/m³. For the formation energy, the calculation gives 6.44 kcal/mol of atoms. Its total energy is -84.77 eV per cell. The crystal system is cubic.


[2]
Entry from Alexandria: LaAlCd at its PBEsol-relaxed geometry (meta-GGA SCAN).

```
3
Lattice="3.772 0.000 0.000 0.000 4.781 0.000 0.000 -2.390 4.140" Properties=species:S:1:pos:R:3 pbc="T T T"
La 1.886 2.390 1.380
Cd 0.000 0.000 2.760
Al 0.000 0.000 0.000
```

Output
Its mass density is 6.19 Mg/m³. For the formation energy, the calculation gives -10.84 kcal/mol of atoms. Its total energy is -82.68 eV per cell. The crystal system is hexagonal.


[3]
Entry from Alexandria: DyAl10Re2 at its PBEsol-relaxed geometry (meta-GGA SCAN).

```
52
Lattice="-3.377 0.801 5.963 -5.593 -1.035 -3.905 1.155 -17.644 3.024" Properties=species:S:1:pos:R:3 pbc="T T T"
Re -6.003 -6.637 3.891
Re -6.301 -2.088 3.111
Re -1.550 -6.520 2.869
Re -5.967 -15.908 2.992
Re -1.513 -15.791 1.970
Re -6.265 -11.358 2.212
Re -1.848 -1.971 2.090
Re -1.811 -11.242 1.190
Al -1.111 -8.422 4.493
Al -3.915 -1.034 3.409
Al -0.947 -10.945 3.618
Al -5.999 -11.077 4.777
Al -5.316 -4.051 -3.042
Al -5.581 -13.424 3.615
Al -3.484 -15.222 3.670
Al -1.712 -13.323 2.728
Al -1.696 -12.836 5.565
Al -0.671 -15.154 4.340
Al -4.384 -12.906 6.182
Al -2.499 -13.828 8.123
Al -4.571 -7.773 -0.218
Al -3.244 -10.106 5.299
Al -6.119 -5.043 -0.484
Al -1.815 -6.802 0.304
Al -2.879 -15.672 6.253
Al -2.796 -0.518 -1.953
Al -4.084 -6.419 2.056
Al -3.900 -16.845 1.672
Al -4.305 -10.658 0.612
Al -2.234 -4.454 1.466
Al -2.552 -8.904 2.230
Al -5.141 -6.717 -2.585
Al -2.091 -2.592 -0.417
Al -4.331 -2.657 1.411
Al -3.431 -4.973 -1.100
Al -1.689 0.400 2.981
Al -3.510 -7.221 4.470
Al -6.868 -6.934 1.463
Al -2.673 -11.161 7.666
Al -4.935 -2.207 -1.172
Al -5.840 -0.153 1.340
Al -2.219 -9.340 -0.441
Al -3.730 -11.460 3.025
Al -5.263 -8.975 2.852
Al -7.144 -2.725 0.742
Al -6.102 -4.556 2.354
Al -5.724 -15.286 5.499
Al -3.130 -0.082 0.718
Dy 0.578 -8.822 1.512
Dy -3.659 -4.083 4.177
Dy -4.156 -13.796 0.904
Dy 0.000 0.000 0.000
```

Output
Its mass density is 6.30 Mg/m³. For the formation energy, the calculation gives -9.29 kcal/mol of atoms. Its total energy is -1091.00 eV per cell. The crystal system is orthorhombic.


[4]
Entry from Alexandria: AlRe2Si at its PBEsol-relaxed geometry (meta-GGA SCAN).

```
8
Lattice="-1.318 1.496 -4.451 -1.796 -4.067 -3.507 -5.446 1.439 -0.576" Properties=species:S:1:pos:R:3 pbc="T T T"
Re -6.590 -0.407 -4.197
Re -3.290 0.626 -0.819
Re -4.940 -2.132 -6.602
Re -2.299 -0.350 -5.449
Al -0.659 0.748 -2.225
Al -3.950 -0.940 -3.154
Si -4.609 -0.192 -5.379
Si 0.000 0.000 0.000
```

Output
Its mass density is 11.15 Mg/m³. Its total energy is -315.55 eV per cell. The crystal system is tetragonal. The uncorrected formation energy comes out at 547 meV per atom. For the energy above the most stable polymorph in this dataset, the calculation gives 747 meV per atom.


[5]
Entry from Alexandria: SrHgP3 at its PBEsol-relaxed geometry (meta-GGA SCAN).

```
5
Lattice="4.993 0.000 0.000 0.000 4.993 0.000 0.000 0.000 4.993" Properties=species:S:1:pos:R:3 pbc="T T T"
P 0.000 2.497 0.000
P 2.497 0.000 0.000
P 0.000 0.000 2.497
Sr 2.497 2.497 2.497
Hg 0.000 0.000 0.000
```

Output
Its mass density is 5.08 Mg/m³. For the formation energy, the calculation gives 10.08 kcal/mol of atoms. Its total energy is -119.45 eV per cell. The crystal system is cubic.


[6]
Entry from Alexandria: CrTePt2 at its PBEsol-relaxed geometry (meta-GGA SCAN).

```
4
Lattice="-2.379 0.231 2.525 1.873 -2.173 1.964 2.716 4.298 2.166" Properties=species:S:1:pos:R:3 pbc="T T T"
Pt 0.724 1.146 0.577
Pt 1.992 3.152 1.588
Te -0.253 -0.971 2.244
Cr 1.105 1.178 3.327
```

Output
Its mass density is 14.16 Mg/m³. Its total energy is -196.65 eV per cell. The crystal system is tetragonal. The uncorrected formation energy comes out at -158 meV per atom.


[7]
Entry from Alexandria: MoPt3C at its PBEsol-relaxed geometry (meta-GGA SCAN).

```
5
Lattice="4.153 0.000 0.000 0.000 4.153 0.000 0.000 0.000 4.153" Properties=species:S:1:pos:R:3 pbc="T T T"
Pt 0.000 0.000 2.077
Pt 0.000 2.077 0.000
Pt 2.077 0.000 0.000
C 0.000 0.000 0.000
Mo 2.077 2.077 2.077
```

Output
Its mass density is 16.07 Mg/m³. For the formation energy, the calculation gives 15.56 kcal/mol of atoms. Its total energy is -252.19 eV per cell. The crystal system is cubic.


[8]
Entry from Alexandria: NiMoSe at its PBEsol-relaxed geometry (meta-GGA SCAN).

```
3
Lattice="2.880 0.000 0.000 0.000 4.118 0.000 0.000 -2.059 3.566" Properties=species:S:1:pos:R:3 pbc="T T T"
Ni 1.658 2.059 1.189
Mo 0.282 0.000 0.000
Se 0.941 0.000 2.377
```

Output
Its mass density is 9.17 Mg/m³. Its total energy is -69.95 eV per cell. The crystal system is trigonal. The uncorrected formation energy comes out at 395 meV per atom. For the energy above the most stable polymorph in this dataset, the calculation gives 228 meV per atom.


[9]
Entry from Alexandria: CaRuBr3 at its PBEsol-relaxed geometry (meta-GGA SCAN).

```
5
Lattice="5.454 0.000 0.000 0.000 5.454 0.000 0.000 0.000 5.454" Properties=species:S:1:pos:R:3 pbc="T T T"
Br 0.000 2.727 0.000
Br 0.000 0.000 2.727
Br 2.727 0.000 0.000
Ca 0.000 0.000 0.000
Ru 2.727 2.727 2.727
```

Output
Its mass density is 3.90 Mg/m³. Its total energy is -105.08 eV per cell. The crystal system is cubic. The uncorrected formation energy comes out at -443 meV per atom.


[10]
Entry from Alexandria: Be2SbPt at its PBEsol-relaxed geometry (meta-GGA SCAN).

```
4
Lattice="-0.109 1.943 -3.036 3.105 -1.993 -1.387 -2.425 -2.656 -1.612" Properties=species:S:1:pos:R:3 pbc="T T T"
Be 1.552 -0.997 -0.694
Be -1.213 -1.328 -0.806
Pt 0.285 -1.353 -3.018
Sb -0.055 0.971 -1.518
```

Output
Its mass density is 9.93 Mg/m³. Its total energy is -116.03 eV per cell. The crystal system is tetragonal. The uncorrected formation energy comes out at 33 meV per atom.


[11]
Entry from Alexandria: ZnCuSbI2 at its PBEsol-relaxed geometry (meta-GGA SCAN).

```
5
Lattice="5.140 0.000 0.000 0.000 5.418 0.000 0.000 0.000 5.418" Properties=species:S:1:pos:R:3 pbc="T T T"
Sb 2.570 0.000 0.000
I 0.000 0.000 2.709
I 0.000 2.709 0.000
Cu 2.570 2.709 2.709
Zn 0.000 0.000 0.000
```

Output
Its mass density is 5.55 Mg/m³. Its total energy is -135.65 eV per cell. The crystal system is tetragonal. The uncorrected formation energy comes out at 762 meV per atom.


[12]
Entry from Alexandria: KNa2YSi6O15 at its PBEsol-relaxed geometry (meta-GGA SCAN).

```
50
Lattice="-2.888 7.860 1.787 -10.109 0.837 0.495 -4.064 1.068 9.246" Properties=species:S:1:pos:R:3 pbc="T T T"
Na -10.846 6.747 4.081
Na -7.660 6.949 8.341
Na -9.402 2.817 3.187
Na -6.216 3.019 7.447
O -15.042 8.805 11.239
O -4.092 0.791 1.892
O -13.249 3.925 10.130
O -12.691 3.343 5.814
O -6.622 5.352 6.786
O -6.268 1.655 3.103
O -12.707 8.313 4.445
O -4.355 1.453 7.083
O -11.769 5.706 8.892
O -10.440 4.414 4.742
O -7.208 8.466 6.356
O -1.828 1.920 2.812
O -12.970 8.975 9.636
O -3.813 5.840 1.398
O -15.234 7.845 8.716
O -5.293 4.060 2.635
O -8.617 6.864 4.690
O -14.347 5.431 8.167
O -9.853 1.300 5.172
O -7.522 3.883 4.012
O -2.715 4.335 3.361
O -4.371 6.423 5.714
O -5.207 3.020 5.118
O -9.540 5.883 7.516
O -11.855 6.746 6.410
O -8.445 2.901 6.838
O -13.693 6.580 10.468
O -3.369 3.185 1.059
O -2.020 0.961 0.289
O -10.794 8.110 8.425
Si -9.054 1.452 6.600
Si -14.292 8.072 10.043
Si -12.986 7.868 5.946
Si -5.130 5.842 7.040
Si -10.942 6.590 7.769
Si -4.076 1.897 5.582
Si -3.771 4.416 2.103
Si -13.291 5.350 9.424
Si -6.120 3.176 3.759
Si -11.932 3.923 4.488
Si -8.008 8.314 4.927
Si -2.770 1.693 1.484
K -6.798 6.330 2.200
K -10.264 3.436 9.328
Y 0.000 0.000 0.000
Y -8.531 4.883 5.764
```

Output
Its mass density is 2.82 Mg/m³. Its total energy is -547.95 eV per cell. The crystal system is orthorhombic. The uncorrected formation energy comes out at -3032 meV per atom.


The lowest mass density belongs to which entry? KNa2YSi6O15


What is the formula in the third record? DyAl10Re2


Number 4 is which compound? AlRe2Si


Look up the mass density of the tenth one. 9.93 Mg/m³